(1)
The following is a PBE calculation of an optimized crystal structure of PmEr3Sc2Se6, from the Alexandria database.

abc: 6.9495 12.0713 6.9442
angles: 90.00 109.51 90.00
With the nearest neighbours (Å) after each atom.
Space group C2/m (No. 12)
Symmetry-distinct sites (fractional):
Pm1 0.0000 0.0000 0.0000 x2  6 Se 2.90-2.93
Er1 0.0000 0.1569 0.5000 x4  6 Se 2.83-2.89
Er2 0.0000 0.5000 0.5000 x2  6 Se 2.78-2.90
Sc1 0.0000 0.3366 0.0000 x4  6 Se 2.74-2.81
Se1 0.2316 0.5000 0.2422 x4  2 Sc 2.74, 3 Er 2.78-2.84, 1 Pm 2.90
Se2 0.2424 0.3246 0.7508 x8  2 Sc 2.79-2.81, 3 Er 2.83-2.90, 1 Pm 2.93

Results
crystal system: monoclinic
formation energy (no corrections): -1674 meV per atom
ρ: 7.3 g/cm3

---

(2)
The following is a PBE calculation of an optimized crystal structure of PmEr2ScSe4, from the Alexandria database.

abc: 6.9843 3.9974 7.0918
angles: 90.00 108.87 90.00
With the nearest neighbours (Å) after each atom.
Space group P2/m (No. 10)
Symmetry-distinct sites (fractional):
Pm1 0.0000 0.0000 0.0000 x1  6 Se 2.92
Er1 0.5000 0.0000 0.5000 x1  6 Se 2.81
Er2 0.5000 0.5000 0.0000 x1  6 Se 2.90-2.91
Sc1 0.0000 0.5000 0.5000 x1  6 Se 2.82
Se1 0.2474 0.0000 0.7381 x2  3 Er 2.81-2.90, 2 Sc 2.82, 1 Pm 2.92
Se2 0.2559 0.5000 0.2632 x2  3 Er 2.81-2.91, 1 Sc 2.82, 2 Pm 2.92

Results
crystal system: monoclinic
formation energy (no corrections): -1684 meV per atom
ρ: 7.4 g/cm3

---

(3)
The following is a PBE calculation of an optimized crystal structure of Pm2ErScSe4, from the Alexandria database.

abc: 6.9880 4.0155 7.2273
angles: 90.00 108.69 90.00
With the nearest neighbours (Å) after each atom.
Space group P2/m (No. 10)
Symmetry-distinct sites (fractional):
Pm1 0.0000 0.0000 0.0000 x1  6 Se 3.00
Pm2 0.5000 0.5000 0.0000 x1  6 Se 2.95
Er1 0.0000 0.5000 0.5000 x1  6 Se 2.83
Sc1 0.5000 0.0000 0.5000 x1  6 Se 2.78
Se1 0.2491 0.0000 0.7310 x2  1 Sc 2.78, 2 Er 2.83, 3 Pm 2.95-3.00
Se2 0.2633 0.5000 0.2729 x2  2 Sc 2.78, 1 Er 2.83, 3 Pm 2.95-3.00

Results
crystal system: monoclinic
formation energy (no corrections): -1733 meV per atom
ρ: 7.1 g/cm3

---

(4)
The following is a PBE calculation of an optimized crystal structure of PmSmErSc, from the Alexandria database.

abc: 12.1606 5.6563 3.7877
angles: 90.00 108.10 90.00
With the nearest neighbours (Å) after each atom.
Space group Cm (No. 8)
Symmetry-distinct sites (fractional):
Pm1 0.0000 0.0000 0.0000 x2  4 Sc 3.40-3.41, 2 Er 3.60-3.61, 2 Sm 3.68-3.70, 2 Pm 3.79
Sm1 0.2260 0.5000 0.2222 x2  2 Sc 3.29-3.30, 4 Er 3.43, 1 Pm 3.68
Er1 0.2652 0.0000 0.7616 x2  2 Sc 3.24-3.25, 4 Sm 3.43, 2 Pm 3.60-3.61
Sc1 0.4929 0.0000 0.4908 x2  2 Er 3.24-3.25, 2 Sm 3.29-3.30, 4 Pm 3.40-3.41

Results
crystal system: monoclinic
calculated formation energy: 0.38 eV/f.u.
ρ: 6.8 g/cm3

---

(5)
The following is a PBE calculation of an optimized crystal structure of Pm2Sm4ErSc, from the Alexandria database.

abc: 5.0577 5.0706 10.0535
angles: 90.00 90.00 90.00
With the nearest neighbours (Å) after each atom.
Space group Pmmm (No. 47)
Symmetry-distinct sites (fractional):
Pm1 0.0000 0.0000 0.0000 x1  8 Sm 3.54, 4 Sc 3.58
Pm2 0.5000 0.5000 0.5000 x1  4 Er 3.58, 8 Sm 3.60
Sm1 0.0000 0.5000 0.2454 x2  2 Sc 3.53, 4 Pm 3.54-3.60, 4 Sm 3.58, 2 Er 3.60
Sm2 0.5000 0.0000 0.2463 x2  4 Pm 3.54-3.60, 2 Sc 3.54, 4 Sm 3.58, 2 Er 3.59
Er1 0.0000 0.0000 0.5000 x1  4 Pm 3.58, 8 Sm 3.59-3.60
Sc1 0.5000 0.5000 0.0000 x1  8 Sm 3.53-3.54, 4 Pm 3.58

Results
crystal system: orthorhombic
calculated formation energy: 0.23 eV/f.u.
ρ: 7.1 g/cm3

---

(6)
The following is a PBE calculation of an optimized crystal structure of PmSmEr2Sc4, from the Alexandria database.

abc: 4.9372 4.9372 9.2307
angles: 90.00 90.00 90.00
With the nearest neighbours (Å) after each atom.
Space group P4/mmm (No. 123)
Symmetry-distinct sites (fractional):
Pm1 0.0000 0.0000 0.0000 x1  8 Sc 3.38, 4 Er 3.49
Sm1 0.5000 0.5000 0.5000 x1  8 Sc 3.38, 4 Er 3.49
Er1 0.0000 0.0000 0.5000 x1  8 Sc 3.38, 4 Sm 3.49
Er2 0.5000 0.5000 0.0000 x1  8 Sc 3.38, 4 Pm 3.49
Sc1 0.0000 0.5000 0.2504 x4  4 Er 3.38, 2 Sm 3.38, 2 Pm 3.38, 4 Sc 3.49

Results
crystal system: tetragonal
calculated formation energy: 0.42 eV/f.u.
ρ: 6.0 g/cm3